# Pd8Pb3Au2

A relaxed Pd8Pb3Au2 crystal (PBE, Alexandria). Values from VASP.

Values from the calculation:
symmetry	R-3m, No. 166
DFT formation energy	-0.017	eV/atom
DOS at the Fermi energy	7.6	states/eV/f.u.
total magnetization	0.0	μB/f.u.
DFT total energy	-4.573	eV/atom

Quantum ESPRESSO input file:
```
&SYSTEM
  ibrav = 0, nat = 13, ntyp = 3
/
ATOMIC_SPECIES
Pd 106.42 Pd.upf
Pb 207.20 Pb.upf
Au 196.97 Au.upf
CELL_PARAMETERS angstrom
2.688 1.552 10.134
-2.688 1.552 10.134
0.000 -3.104 10.134
ATOMIC_POSITIONS crystal
Pd 0.226 0.226 0.226
Pd 0.230 0.230 0.728
Pd 0.230 0.728 0.230
Pd 0.272 0.770 0.770
Pd 0.728 0.230 0.230
Pd 0.770 0.272 0.770
Pd 0.770 0.770 0.272
Pd 0.774 0.774 0.774
Pb 0.314 0.314 0.314
Pb 0.500 0.500 0.500
Pb 0.686 0.686 0.686
Au 0.138 0.138 0.138
Au 0.862 0.862 0.862
```

***

# PdPb2Au2

A relaxed PdPb2Au2 crystal (PBE, Alexandria). Values from VASP.

Values from the calculation:
symmetry	C2/c, No. 15
DFT formation energy	-0.128	eV/atom
DOS at the Fermi energy	1.7	states/eV/f.u.
total magnetization	0.0	μB/f.u.
DFT total energy	-3.961	eV/atom
energy relative to the lowest polymorph listed for this composition	0.00	kcal/mol of atoms

Quantum ESPRESSO input file:
```
&SYSTEM
  ibrav = 0, nat = 10, ntyp = 3
/
ATOMIC_SPECIES
Pd 106.42 Pd.upf
Pb 207.20 Pb.upf
Au 196.97 Au.upf
CELL_PARAMETERS angstrom
4.838 -3.249 0.000
4.838 3.249 0.000
-2.757 0.000 6.991
ATOMIC_POSITIONS crystal
Pd 0.247 0.753 0.750
Pd 0.753 0.247 0.250
Pb 0.077 0.259 0.648
Pb 0.259 0.077 0.148
Pb 0.741 0.923 0.852
Pb 0.923 0.741 0.352
Au 0.268 0.526 0.046
Au 0.474 0.732 0.454
Au 0.526 0.268 0.546
Au 0.732 0.474 0.954
```